No. 1
Computed, not measured: an optimized crystal structure of Cs2MgOsO6 at the PBE level of DFT.

Results
* DFT total energy: -5.91 eV per atom
* total magnetic moment: 0.00 μB/f.u.
* ΔE_f (raw): -143.21 kJ/mol of atoms
* mass density: 4.93 g/cm3
* space group: No. 164

a = 5.2783 Å, b = 6.5142 Å, c = 6.5142 Å
α = 120.00°, β = 90.00°, γ = 90.00°
Closest atoms and distances in Å follow each position.
Positions (direct):
Cs: 0.2290 0.3333 0.6667  9 O 3.26-3.28
Cs: 0.7710 0.6667 0.3333  9 O 3.26-3.28
Mg: 0.5000 0.0000 0.0000  6 O 2.12
Os: 0.0000 0.0000 0.0000  6 O 1.88
O: 0.7840 0.1330 0.2660  1 Os 1.88
O: 0.7840 0.1330 0.8670  1 Os 1.88
O: 0.7840 0.7340 0.8670  1 Os 1.88
O: 0.2160 0.8670 0.1330  1 Os 1.88
O: 0.2160 0.2660 0.1330  1 Os 1.88
O: 0.2160 0.8670 0.7340  1 Os 1.88


No. 2
Computed, not measured: an optimized crystal structure of CsMgOs2O8 at the PBE level of DFT.

Results
* DFT total energy: -6.74 eV per atom
* total magnetic moment: 3.00 μB/f.u.
* ΔE_f (raw): -130.80 kJ/mol of atoms
* mass density: 4.56 g/cm3
* space group: No. 147

a = 5.7864 Å, b = 5.7864 Å, c = 8.3599 Å
α = 90.00°, β = 90.00°, γ = 120.00°
Closest atoms and distances in Å follow each position.
Positions (direct):
Cs: 0.0000 0.0000 0.0000  12 O 3.36-3.40
Mg: 0.0000 0.0000 0.5000  6 O 2.08
Os: 0.6667 0.3333 0.2847  4 O 1.78-1.79
Os: 0.3333 0.6667 0.7153  4 O 1.78-1.79
O: 0.3333 0.6667 0.9276  1 Os 1.78
O: 0.3290 0.1970 0.3501  1 Os 1.79
O: 0.8030 0.1319 0.3501  1 Os 1.79
O: 0.6667 0.3333 0.0724  1 Os 1.78
O: 0.1970 0.8681 0.6499  1 Os 1.79
O: 0.6710 0.8030 0.6499  1 Os 1.79
O: 0.1319 0.3290 0.6499  1 Os 1.79
O: 0.8681 0.6710 0.3501  1 Os 1.79